! CaSb4Rh6 (GGA-PBE, relaxed); values from VASP
&SYSTEM
  ibrav = 0, nat = 11, ntyp = 3
/
ATOMIC_SPECIES
Ca 40.08 Ca.upf
Sb 121.76 Sb.upf
Rh 102.91 Rh.upf
CELL_PARAMETERS angstrom
-3.3971 3.3971 4.8433
3.3971 -3.3971 4.8433
3.3971 3.3971 -4.8433
ATOMIC_POSITIONS angstrom
Ca 0.0000 0.0000 0.0000
Sb 1.3990 -1.3990 3.1884
Sb 1.9981 1.9981 1.6550
Sb -1.3990 1.3990 3.1884
Sb 1.3990 1.3990 6.4983
Rh 3.3971 0.0000 0.0000
Rh 2.2742 2.2742 -0.9823
Rh 1.1229 -1.1229 5.8256
Rh 0.0000 3.3971 0.0000
Rh 1.1229 1.1229 3.8611
Rh -1.1229 1.1229 5.8256
! - Crystal system: tetragonal

! Ca3Sb2Rh2 (GGA-PBE, relaxed); values from VASP
&SYSTEM
  ibrav = 0, nat = 28, ntyp = 3
/
ATOMIC_SPECIES
Ca 40.08 Ca.upf
Sb 121.76 Sb.upf
Rh 102.91 Rh.upf
CELL_PARAMETERS angstrom
5.7975 0.0000 0.0000
0.0000 8.4530 0.0000
0.0000 0.0000 13.8220
ATOMIC_POSITIONS angstrom
Ca 0.7688 2.0282 3.4555
Ca 0.7688 2.1983 10.3665
Ca 2.0404 5.1023 1.3680
Ca 2.0404 5.1023 5.5430
Ca 2.0404 7.5771 8.2790
Ca 2.0404 7.5771 12.4540
Ca 3.7571 0.8758 1.3680
Ca 3.7571 0.8758 5.5430
Ca 3.7571 3.3507 8.2790
Ca 3.7571 3.3507 12.4540
Ca 5.0287 6.2546 3.4555
Ca 5.0287 6.4248 10.3665
Sb 0.7563 2.1132 0.0000
Sb 0.7563 2.1132 6.9110
Sb 2.0885 5.1282 10.3665
Sb 2.0885 7.5512 3.4555
Sb 3.7090 0.9017 10.3665
Sb 3.7090 3.3248 3.4555
Sb 5.0412 6.3397 0.0000
Sb 5.0412 6.3397 6.9110
Rh 0.7587 4.4867 8.1127
Rh 0.7587 4.4867 12.6203
Rh 0.7587 8.1928 1.2017
Rh 0.7587 8.1928 5.7093
Rh 5.0388 0.2602 8.1127
Rh 5.0388 0.2602 12.6203
Rh 5.0388 3.9663 1.2017
Rh 5.0388 3.9663 5.7093
! - Crystal system: orthorhombic

! CaSb2Rh (GGA-PBE, relaxed); values from VASP
&SYSTEM
  ibrav = 0, nat = 4, ntyp = 3
/
ATOMIC_SPECIES
Ca 40.08 Ca.upf
Sb 121.76 Sb.upf
Rh 102.91 Rh.upf
CELL_PARAMETERS angstrom
4.5842 0.0000 0.0000
0.0000 4.5842 0.0000
0.0000 0.0000 4.2221
ATOMIC_POSITIONS angstrom
Ca 0.0000 0.0000 0.0000
Sb 0.0000 2.2921 2.1110
Sb 2.2921 0.0000 2.1110
Rh 2.2921 2.2921 0.0000
! - Crystal system: tetragonal

! Ca3Sb4Rh4 (GGA-PBE, relaxed); values from VASP
&SYSTEM
  ibrav = 0, nat = 11, ntyp = 3
/
ATOMIC_SPECIES
Ca 40.08 Ca.upf
Sb 121.76 Sb.upf
Rh 102.91 Rh.upf
CELL_PARAMETERS angstrom
-4.0267 4.0267 4.0267
4.0267 -4.0267 4.0267
4.0267 4.0267 -4.0267
ATOMIC_POSITIONS angstrom
Ca 4.0267 0.0000 0.0000
Ca 0.0000 4.0267 0.0000
Ca 0.0000 0.0000 4.0267
Sb 2.5407 2.5407 -2.5407
Sb 2.5407 -2.5407 2.5407
Sb 1.4860 1.4860 1.4860
Sb -2.5407 2.5407 2.5407
Rh 1.1002 1.1002 -1.1002
Rh 1.1002 -1.1002 1.1002
Rh -1.1002 1.1002 1.1002
Rh 2.9265 2.9265 2.9265
! - Crystal system: cubic

! CaSbRh2 (GGA-PBE, relaxed); values from VASP
&SYSTEM
  ibrav = 0, nat = 16, ntyp = 3
/
ATOMIC_SPECIES
Ca 40.08 Ca.upf
Sb 121.76 Sb.upf
Rh 102.91 Rh.upf
CELL_PARAMETERS angstrom
7.4199 0.0000 0.0000
0.0000 7.4199 0.0000
0.0000 0.0000 6.2747
ATOMIC_POSITIONS angstrom
Ca 0.0000 0.0000 0.0000
Ca 0.0000 3.7100 1.5687
Ca 3.7100 0.0000 4.7060
Ca 3.7100 3.7100 3.1373
Sb 0.0000 0.0000 3.1373
Sb 0.0000 3.7100 4.7060
Sb 3.7100 0.0000 1.5687
Sb 3.7100 3.7100 0.0000
Rh 1.5158 5.5649 3.9217
Rh 1.8550 1.5158 2.3530
Rh 1.8550 2.1942 5.4903
Rh 2.1942 5.5649 0.7843
Rh 5.2258 1.8550 0.7843
Rh 5.5649 5.2258 5.4903
Rh 5.5649 5.9041 2.3530
Rh 5.9041 1.8550 3.9217
! - Crystal system: tetragonal

! CaSb2Rh (GGA-PBE, relaxed); values from VASP
&SYSTEM
  ibrav = 0, nat = 4, ntyp = 3
/
ATOMIC_SPECIES
Ca 40.08 Ca.upf
Sb 121.76 Sb.upf
Rh 102.91 Rh.upf
CELL_PARAMETERS angstrom
3.3898 0.0000 0.0000
0.0000 3.3898 0.0000
0.0000 0.0000 7.8382
ATOMIC_POSITIONS angstrom
Ca 0.0000 0.0000 0.0000
Sb 1.6949 1.6949 2.2970
Sb 1.6949 1.6949 5.5412
Rh 0.0000 0.0000 3.9191
! - Crystal system: tetragonal

! Ca3Sb4Rh4 (GGA-PBE, relaxed); values from VASP
&SYSTEM
  ibrav = 0, nat = 11, ntyp = 3
/
ATOMIC_SPECIES
Ca 40.08 Ca.upf
Sb 121.76 Sb.upf
Rh 102.91 Rh.upf
CELL_PARAMETERS angstrom
-2.1960 3.7326 7.1844
2.1960 -3.7326 7.1844
2.1960 3.7326 -7.1844
ATOMIC_POSITIONS angstrom
Ca 0.0000 0.0000 0.0000
Ca 2.1960 0.0000 5.3712
Ca 0.0000 3.7326 1.8132
Sb 0.0000 0.0000 3.1498
Sb 2.1960 2.2369 0.0000
Sb 0.0000 1.4956 7.1844
Sb 0.0000 0.0000 11.2190
Rh 2.1960 1.4787 -2.5641
Rh 2.1960 1.4787 2.5641
Rh 0.0000 2.2539 4.6203
Rh 0.0000 2.2539 9.7485
! - Crystal system: orthorhombic

! Ca4SbRh (GGA-PBE, relaxed); values from VASP
&SYSTEM
  ibrav = 0, nat = 6, ntyp = 3
/
ATOMIC_SPECIES
Ca 40.08 Ca.upf
Sb 121.76 Sb.upf
Rh 102.91 Rh.upf
CELL_PARAMETERS angstrom
0.0000 4.3750 4.3750
4.3750 0.0000 4.3750
4.3750 4.3750 0.0000
ATOMIC_POSITIONS angstrom
Ca 1.0890 1.0890 1.0890
Ca 3.2860 3.2860 1.0890
Ca 3.2860 1.0890 3.2860
Ca 1.0890 3.2860 3.2860
Sb 4.3750 4.3750 4.3750
Rh 6.5625 6.5625 6.5625
! - Crystal system: cubic

! CaSbRh2 (GGA-PBE, relaxed); values from VASP
&SYSTEM
  ibrav = 0, nat = 8, ntyp = 3
/
ATOMIC_SPECIES
Ca 40.08 Ca.upf
Sb 121.76 Sb.upf
Rh 102.91 Rh.upf
CELL_PARAMETERS angstrom
4.0759 0.0000 0.0000
0.0000 4.0759 0.0000
0.0000 0.0000 10.1384
ATOMIC_POSITIONS angstrom
Ca 1.0190 1.0190 1.9101
Ca 3.0569 3.0569 8.2283
Sb 1.0190 1.0190 6.6942
Sb 3.0569 3.0569 3.4442
Rh 1.0190 1.0190 9.2358
Rh 1.0190 3.0569 5.0692
Rh 3.0569 1.0190 5.0692
Rh 3.0569 3.0569 0.9027
! - Crystal system: tetragonal

! CaSbRh2 (GGA-PBE, relaxed); values from VASP
&SYSTEM
  ibrav = 0, nat = 4, ntyp = 3
/
ATOMIC_SPECIES
Ca 40.08 Ca.upf
Sb 121.76 Sb.upf
Rh 102.91 Rh.upf
CELL_PARAMETERS angstrom
3.2588 0.0000 0.0000
0.0000 4.1926 0.0000
0.0000 0.0000 5.5415
ATOMIC_POSITIONS angstrom
Ca 0.0000 0.0000 0.0000
Sb 1.6294 2.0963 3.6671
Rh 0.0000 0.0000 2.7627
Rh 1.6294 2.0963 1.0655
! - Crystal system: orthorhombic

! Ca3Sb5Rh6 (GGA-PBE, relaxed); values from VASP
&SYSTEM
  ibrav = 0, nat = 28, ntyp = 3
/
ATOMIC_SPECIES
Ca 40.08 Ca.upf
Sb 121.76 Sb.upf
Rh 102.91 Rh.upf
CELL_PARAMETERS angstrom
4.2856 0.0000 0.0000
0.0000 13.3282 0.0000
0.0000 0.0000 10.2509
ATOMIC_POSITIONS angstrom
Ca 1.0714 1.1200 2.5598
Ca 1.0714 5.5441 2.5598
Ca 1.0714 9.9961 2.5577
Ca 3.2142 3.3320 7.6932
Ca 3.2142 7.7841 7.6911
Ca 3.2142 12.2082 7.6911
Sb 1.0714 1.0698 6.6524
Sb 1.0714 5.5943 6.6524
Sb 1.0714 8.3925 10.0541
Sb 1.0714 9.9961 6.6098
Sb 1.0714 11.5998 10.0541
Sb 3.2142 1.7284 0.1968
Sb 3.2142 3.3320 3.6411
Sb 3.2142 4.9357 0.1968
Sb 3.2142 7.7339 3.5985
Sb 3.2142 12.2584 3.5985
Rh 1.0714 0.7133 9.2228
Rh 1.0714 3.3320 0.0407
Rh 1.0714 3.3320 5.2182
Rh 1.0714 5.9508 9.2228
Rh 1.0714 7.7894 5.1043
Rh 1.0714 12.2028 5.1043
Rh 3.2142 1.1254 5.1465
Rh 3.2142 5.5387 5.1465
Rh 3.2142 7.3774 1.0280
Rh 3.2142 9.9961 5.0326
Rh 3.2142 9.9961 10.2102
Rh 3.2142 12.6148 1.0280
! - Crystal system: orthorhombic

! CaSb2Rh (GGA-PBE, relaxed); values from VASP
&SYSTEM
  ibrav = 0, nat = 8, ntyp = 3
/
ATOMIC_SPECIES
Ca 40.08 Ca.upf
Sb 121.76 Sb.upf
Rh 102.91 Rh.upf
CELL_PARAMETERS angstrom
7.4685 0.0000 0.0000
0.0000 4.3032 0.0000
-2.4881 0.0000 6.2271
ATOMIC_POSITIONS angstrom
Ca 0.0000 0.0000 0.0000
Ca 3.7343 2.1516 0.0000
Sb -1.2444 2.1516 4.3059
Sb 1.2505 2.1516 2.1265
Sb 2.4899 0.0000 4.3059
Sb 4.9848 0.0000 2.1265
Rh 0.0033 0.0000 3.2988
Rh 3.7375 2.1516 3.2988
! - Crystal system: monoclinic

! Ca2SbRh3 (GGA-PBE, relaxed); values from VASP
&SYSTEM
  ibrav = 0, nat = 6, ntyp = 3
/
ATOMIC_SPECIES
Ca 40.08 Ca.upf
Sb 121.76 Sb.upf
Rh 102.91 Rh.upf
CELL_PARAMETERS angstrom
2.8360 1.6373 4.1977
-2.8360 1.6373 4.1977
0.0000 -3.2747 4.1977
ATOMIC_POSITIONS angstrom
Ca 0.0000 0.0000 1.5917
Ca 0.0000 0.0000 11.0013
Sb 0.0000 0.0000 6.2965
Rh -1.4180 -0.8187 4.1977
Rh -1.4180 0.8187 8.3953
Rh 0.0000 1.6373 4.1977
! - Crystal system: trigonal

! CaSb2Rh (GGA-PBE, relaxed); values from VASP
&SYSTEM
  ibrav = 0, nat = 8, ntyp = 3
/
ATOMIC_SPECIES
Ca 40.08 Ca.upf
Sb 121.76 Sb.upf
Rh 102.91 Rh.upf
CELL_PARAMETERS angstrom
3.4148 0.0000 0.0000
0.0000 3.9862 0.0000
0.0000 0.0000 14.3810
ATOMIC_POSITIONS angstrom
Ca 0.0000 0.0000 0.0000
Ca 1.7074 1.9931 7.1905
Sb 0.0000 0.0000 5.3464
Sb 0.0000 1.9931 2.4146
Sb 1.7074 0.0000 9.6051
Sb 1.7074 1.9931 12.5369
Rh 0.0000 1.9931 10.4941
Rh 1.7074 0.0000 3.3036
! - Crystal system: orthorhombic

! CaSbRh2 (GGA-PBE, relaxed); values from VASP
&SYSTEM
  ibrav = 0, nat = 4, ntyp = 3
/
ATOMIC_SPECIES
Ca 40.08 Ca.upf
Sb 121.76 Sb.upf
Rh 102.91 Rh.upf
CELL_PARAMETERS angstrom
4.4639 0.0000 0.0000
0.0000 4.4639 0.0000
0.0000 0.0000 3.6379
ATOMIC_POSITIONS angstrom
Ca 0.0000 0.0000 0.0000
Sb 2.2319 2.2319 0.0000
Rh 0.0000 2.2319 1.8189
Rh 2.2319 0.0000 1.8189
! - Crystal system: tetragonal

! Ca4SbRh (GGA-PBE, relaxed); values from VASP
&SYSTEM
  ibrav = 0, nat = 12, ntyp = 3
/
ATOMIC_SPECIES
Ca 40.08 Ca.upf
Sb 121.76 Sb.upf
Rh 102.91 Rh.upf
CELL_PARAMETERS angstrom
4.6952 -6.9353 0.0000
4.6952 6.9353 0.0000
-3.0588 0.0000 5.6015
ATOMIC_POSITIONS angstrom
Ca 0.8002 4.5769 5.1594
Ca 0.5241 0.8565 3.8779
Ca 4.0020 4.5769 3.2428
Ca 2.0535 -0.8565 1.0771
Ca 4.2781 0.8565 4.5244
Ca 2.3296 -4.5769 2.3587
Ca 5.8075 -0.8565 1.7236
Ca 5.5314 -4.5769 0.4421
Sb 3.9305 1.8591 1.4004
Sb 2.4011 -1.8591 4.2011
Rh 2.4011 6.9142 4.2011
Rh 3.9305 -6.9142 1.4004
! - Crystal system: monoclinic

! CaSb3Rh5 (GGA-PBE, relaxed); values from VASP
&SYSTEM
  ibrav = 0, nat = 18, ntyp = 3
/
ATOMIC_SPECIES
Ca 40.08 Ca.upf
Sb 121.76 Sb.upf
Rh 102.91 Rh.upf
CELL_PARAMETERS angstrom
2.0525 -6.7798 0.0000
2.0525 6.7798 0.0000
0.0000 0.0000 13.1252
ATOMIC_POSITIONS angstrom
Ca 2.0525 4.9993 9.8439
Ca 2.0525 -4.9993 3.2813
Sb 2.0525 5.2613 3.2813
Sb 2.0525 1.6414 0.5814
Sb 2.0525 1.6414 5.9812
Sb 2.0525 -1.6414 7.1440
Sb 2.0525 -1.6414 12.5438
Sb 2.0525 -5.2613 9.8439
Rh 0.0000 0.0000 0.0000
Rh 0.0000 0.0000 6.5626
Rh 2.0525 4.1489 0.9013
Rh 2.0525 4.1489 5.6613
Rh 2.0525 0.6674 8.4214
Rh 2.0525 0.6674 11.2665
Rh 2.0525 -0.6674 1.8588
Rh 2.0525 -0.6674 4.7039
Rh 2.0525 -4.1489 7.4639
Rh 2.0525 -4.1489 12.2239
! - Crystal system: orthorhombic

! CaSb2Rh (GGA-PBE, relaxed); values from VASP
&SYSTEM
  ibrav = 0, nat = 4, ntyp = 3
/
ATOMIC_SPECIES
Ca 40.08 Ca.upf
Sb 121.76 Sb.upf
Rh 102.91 Rh.upf
CELL_PARAMETERS angstrom
5.0234 0.0000 0.0000
0.0000 4.2501 0.0000
-1.8578 0.0000 4.7974
ATOMIC_POSITIONS angstrom
Ca 0.0000 0.0000 0.0000
Sb 0.3062 2.1250 3.3194
Sb 2.8595 2.1250 1.4780
Rh 1.5828 0.0000 2.3987
! - Crystal system: monoclinic

! CaSbRh2 (GGA-PBE, relaxed); values from VASP
&SYSTEM
  ibrav = 0, nat = 16, ntyp = 3
/
ATOMIC_SPECIES
Ca 40.08 Ca.upf
Sb 121.76 Sb.upf
Rh 102.91 Rh.upf
CELL_PARAMETERS angstrom
6.7036 0.0000 0.0000
0.0000 6.7036 0.0000
0.0000 0.0000 6.7036
ATOMIC_POSITIONS angstrom
Ca 0.0000 0.0000 0.0000
Ca 0.0000 3.3518 3.3518
Ca 3.3518 0.0000 3.3518
Ca 3.3518 3.3518 0.0000
Sb 1.6759 1.6759 5.0277
Sb 1.6759 5.0277 1.6759
Sb 5.0277 1.6759 1.6759
Sb 5.0277 5.0277 5.0277
Rh 0.0000 0.0000 3.3518
Rh 0.0000 3.3518 0.0000
Rh 1.6759 1.6759 1.6759
Rh 1.6759 5.0277 5.0277
Rh 3.3518 0.0000 0.0000
Rh 3.3518 3.3518 3.3518
Rh 5.0277 1.6759 5.0277
Rh 5.0277 5.0277 1.6759
! - Crystal system: cubic

! CaSb2Rh (GGA-PBE, relaxed); values from VASP
&SYSTEM
  ibrav = 0, nat = 16, ntyp = 3
/
ATOMIC_SPECIES
Ca 40.08 Ca.upf
Sb 121.76 Sb.upf
Rh 102.91 Rh.upf
CELL_PARAMETERS angstrom
8.1651 0.0000 0.0000
0.0000 8.1651 0.0000
0.0000 0.0000 5.9994
ATOMIC_POSITIONS angstrom
Ca 0.0000 0.0000 0.0000
Ca 0.0000 4.0825 1.4998
Ca 4.0825 0.0000 4.4995
Ca 4.0825 4.0825 2.9997
Sb 1.4988 2.0413 3.7496
Sb 2.0413 5.5814 5.2494
Sb 2.0413 6.6662 2.2498
Sb 2.5837 2.0413 0.7499
Sb 5.5814 6.1238 0.7499
Sb 6.1238 1.4988 2.2498
Sb 6.1238 2.5837 5.2494
Sb 6.6662 6.1238 3.7496
Rh 0.0000 0.0000 2.9997
Rh 0.0000 4.0825 4.4995
Rh 4.0825 0.0000 1.4998
Rh 4.0825 4.0825 0.0000
! - Crystal system: tetragonal

How do the records compare in calculated volume? In the order shown, they have 20.3; 24.2; 22.2; 23.7; 21.6; 22.5; 21.4; 27.9; 21.1; 18.9; 20.9; 25.0; 19.5; 24.5; 18.1; 30.4; 20.3; 25.6; 18.8; 25.0 Å³/atom.
How do the records compare in formation energy without anion corrections? In the order shown, they have -338; -868; -349; -675; -158; -389; -734; 332; -413; -333; -700; -637; -647; -466; -501; -605; -467; -557; -127; -500 meV/atom.